NaPaCr2O6 | GGA+U | optimized geometry

```
NaPaCr2O6
1.0
2.7286 1.5754 4.6293
-2.7286 1.5754 4.6293
0.0000 -3.1507 4.6293
Na Pa Cr O
1 1 2 6
Direct
0.0000 0.0000 0.0000
0.4852 0.4852 0.4852
0.2713 0.2713 0.2713
0.7754 0.7754 0.7754
0.0599 0.6139 0.4384
0.1402 0.5344 0.9137
0.4384 0.0599 0.6139
0.5344 0.9137 0.1402
0.6139 0.4384 0.0599
0.9137 0.1402 0.5344
```

Spin magnetization   0.6000 μB/atom
Crystal system   trigonal
Symmetry   R3
Calculated total energy   -7.9966 eV per atom
Fermi-level density of states   0.000 states/eV/atom